Record 1
VASP calculation (meta-GGA SCAN) on Ba2ScAl at its PBEsol-relaxed geometry.

The structure belongs to space group Cmmm (No. 65); the cell edges are 8.1782, 8.2440 and 4.0244 Å and the angles 90.00°, 90.00° and 90.00°. The inequivalent atoms are Ba at (0.2500, 0.2500, 0.0000), Sc at (0.0000, 0.0000, 0.5000) and Al at (0.0000, 0.5000, 0.5000).

As for the energy of formation: 0.289 eV per atom. The theoretical density comes out at 4.24 Mg/m³. The crystal system is orthorhombic. Its volume is 33.917 Å³/atom. Its magnetization is 0.001 μB per atom.


Record 2
VASP calculation (meta-GGA SCAN) on BaScAl2 at its PBEsol-relaxed geometry.

The structure belongs to space group R-3m (No. 166, hexagonal axes); the cell edges are 4.7372, 4.7372 and 18.3470 Å and the angles 90.00°, 90.00° and 120.00°. The inequivalent atoms are Ba at (0.0000, 0.0000, 0.0000), Sc at (0.0000, 0.0000, 0.5000) and Al at (0.0000, 0.0000, 0.1997).

Its energy above the most stable polymorph in this dataset is 0.00 kJ per mole of atoms. As for the energy of formation: -0.091 eV per atom. The theoretical density comes out at 3.30 Mg/m³. The crystal system is trigonal. Its volume is 29.707 Å³/atom. Its magnetization is 0.000 μB per atom.


Record 3
VASP calculation (meta-GGA SCAN) on BaSc4Al at its PBEsol-relaxed geometry.

The structure belongs to space group F-43m (No. 216); the cell edges are 8.6018, 8.6018 and 8.6018 Å and the angles 90.00°, 90.00° and 90.00°. The inequivalent atoms are Ba at (0.0000, 0.0000, 0.0000), Sc at (0.1230, 0.1230, 0.3770) and Al at (0.2500, 0.2500, 0.7500).

As for the energy of formation: 0.402 eV per atom. The theoretical density comes out at 3.59 Mg/m³. The crystal system is cubic. Its volume is 26.519 Å³/atom. Its magnetization is 0.000 μB per atom.